Crystalline Na3IO at its relaxed geometry, computed with PBE-GGA.

## Properties
- space-group type = P6_3/mmc (194)
- size of the total moment (μB/f.u.) = 0.0
- formation energy without anion corrections (meV per atom) = -1095.4

a = 4.2962 Å, b = 4.2962 Å, c = 16.4730 Å
α = 90.00°, β = 90.00°, γ = 120.00°
Positions (direct):
I (0.0000, 0.0000, 0.0000)
I (0.0000, 0.0000, 0.5000)
Na (0.0000, 0.0000, 0.2500)
Na (0.0000, 0.0000, 0.7500)
Na (0.3333, 0.6667, 0.8809)
Na (0.3333, 0.6667, 0.6191)
Na (0.6667, 0.3333, 0.3809)
Na (0.6667, 0.3333, 0.1191)
O (0.3333, 0.6667, 0.7500)
O (0.6667, 0.3333, 0.2500)


Crystalline NaIO3 at its relaxed geometry, computed with PBE-GGA.

## Properties
- space-group type = Pna2_1 (33)
- size of the total moment (μB/f.u.) = 0.0
- formation energy without anion corrections (meV per atom) = -874.1

a = 6.1199 Å, b = 6.3317 Å, c = 8.6727 Å
α = 90.00°, β = 90.00°, γ = 90.00°
Positions (direct):
Na (0.0355, 0.5107, 0.5011)
Na (0.5355, 0.9893, 0.5011)
Na (0.4645, 0.0107, 0.0011)
Na (0.9645, 0.4893, 0.0011)
I (0.9155, 0.9697, 0.7756)
I (0.4155, 0.5303, 0.7756)
I (0.5845, 0.4697, 0.2756)
I (0.0845, 0.0303, 0.2756)
O (0.1788, 0.3544, 0.7531)
O (0.2679, 0.7376, 0.8815)
O (0.9221, 0.8580, 0.5805)
O (0.4221, 0.6420, 0.5805)
O (0.2321, 0.2376, 0.3815)
O (0.7679, 0.7624, 0.8815)
O (0.7321, 0.2624, 0.3815)
O (0.3212, 0.8544, 0.2531)
O (0.8212, 0.6456, 0.2531)
O (0.6788, 0.1456, 0.7531)
O (0.0779, 0.1420, 0.0805)
O (0.5779, 0.3580, 0.0805)


Crystalline NaIO3 at its relaxed geometry, computed with PBE-GGA.

## Properties
- space-group type = Pm-3m (221)
- size of the total moment (μB/f.u.) = 0.0
- formation energy without anion corrections (meV per atom) = -645.1

a = 4.1469 Å, b = 4.1469 Å, c = 4.1469 Å
α = 90.00°, β = 90.00°, γ = 90.00°
Positions (direct):
Na (0.5000, 0.5000, 0.5000)
I (0.0000, 0.0000, 0.0000)
O (0.0000, 0.5000, 0.0000)
O (0.0000, 0.0000, 0.5000)
O (0.5000, 0.0000, 0.0000)


Crystalline Na3IO at its relaxed geometry, computed with PBE-GGA.

## Properties
- space-group type = Cmcm (63)
- size of the total moment (μB/f.u.) = 0.0
- formation energy without anion corrections (meV per atom) = -610.3

a = 9.3936 Å, b = 9.3936 Å, c = 6.2183 Å
α = 90.00°, β = 90.00°, γ = 150.17°
Positions (direct):
I (0.1807, 0.8193, 0.2500)
I (0.8193, 0.1807, 0.7500)
Na (0.0915, 0.4105, 0.2500)
Na (0.5895, 0.9085, 0.2500)
Na (0.4105, 0.0915, 0.7500)
Na (0.9085, 0.5895, 0.7500)
Na (0.0000, 0.0000, 0.0000)
Na (0.0000, 0.0000, 0.5000)
O (0.4373, 0.5627, 0.2500)
O (0.5627, 0.4373, 0.7500)


Crystalline Na3IO at its relaxed geometry, computed with PBE-GGA.

## Properties
- space-group type = I-4m2 (119)
- size of the total moment (μB/f.u.) = 0.0
- formation energy without anion corrections (meV per atom) = -911.5

a = 6.0919 Å, b = 6.0919 Å, c = 8.0302 Å
α = 67.71°, β = 67.71°, γ = 90.00°
Positions (direct):
I (0.6116, 0.1116, 0.7768)
I (0.8884, 0.3884, 0.2232)
Na (0.1613, 0.8957, 0.2087)
Na (0.1043, 0.8387, 0.7913)
Na (0.1043, 0.3700, 0.7913)
Na (0.6300, 0.8957, 0.2087)
Na (0.2994, 0.2994, 0.4012)
Na (0.7006, 0.7006, 0.5988)
O (0.0000, 0.0000, 0.0000)
O (0.2500, 0.7500, 0.5000)


Crystalline Na3IO at its relaxed geometry, computed with PBE-GGA.

## Properties
- space-group type = Fd-3m (227)
- size of the total moment (μB/f.u.) = 0.0
- formation energy without anion corrections (meV per atom) = -1202.5

a = 8.8029 Å, b = 8.8029 Å, c = 8.8029 Å
α = 60.00°, β = 60.00°, γ = 60.00°
Positions (direct):
I (0.6250, 0.6250, 0.6250)
I (0.6250, 0.1250, 0.6250)
I (0.1250, 0.6250, 0.6250)
I (0.6250, 0.6250, 0.1250)
Na (0.8085, 0.1915, 0.1915)
Na (0.0585, 0.4415, 0.4415)
Na (0.4415, 0.4415, 0.0585)
Na (0.4415, 0.0585, 0.0585)
Na (0.0585, 0.4415, 0.0585)
Na (0.8085, 0.1915, 0.8085)
Na (0.4415, 0.0585, 0.4415)
Na (0.0585, 0.0585, 0.4415)
Na (0.1915, 0.8085, 0.1915)
Na (0.1915, 0.8085, 0.8085)
Na (0.1915, 0.1915, 0.8085)
Na (0.8085, 0.8085, 0.1915)
O (0.1250, 0.1250, 0.1250)
O (0.1250, 0.6250, 0.1250)
O (0.6250, 0.1250, 0.1250)
O (0.1250, 0.1250, 0.6250)